Compound: V2FeP
Source: Alexandria
Functional: PBE
Structure: optimized geometry

abc: 6.3724 6.3724 5.1684
angles: 51.94 51.94 90.00
Closest atoms and distances in Å follow each position.
Atoms (fractional coordinates):
P (0.5000, 0.5000, 0.0000)  4 V 2.37, 2 Fe 2.53
P (0.2500, 0.7500, 0.5000)  4 V 2.37, 2 Fe 2.53
Fe (0.0000, 0.0000, 0.0000)  4 V 2.31, 2 P 2.53
Fe (0.7500, 0.2500, 0.5000)  4 V 2.31, 2 P 2.53
V (0.6310, 0.1250, 0.2500)  2 Fe 2.31, 2 P 2.37, 2 V 2.53
V (0.1190, 0.6250, 0.2500)  2 Fe 2.31, 2 P 2.37, 2 V 2.53
V (0.3750, 0.3690, 0.7500)  2 Fe 2.31, 2 P 2.37, 2 V 2.53
V (0.8750, 0.8810, 0.7500)  2 Fe 2.31, 2 P 2.37, 2 V 2.53

Computed properties:
- E_tot: -63.87 eV/cell
- Mass density: 6097 kg/m³

=====

Compound: Dy2InNi
Source: Alexandria
Functional: PBE
Structure: optimized geometry

abc: 5.0910 5.0910 5.0910
angles: 60.00 60.00 60.00
Closest atoms and distances in Å follow each position.
Atoms (fractional coordinates):
Ni (0.5000, 0.5000, 0.5000)  8 Dy 3.12
In (0.0000, 0.0000, 0.0000)  8 Dy 3.12
Dy (0.2500, 0.2500, 0.2500)  4 In 3.12, 4 Ni 3.12
Dy (0.7500, 0.7500, 0.7500)  4 In 3.12, 4 Ni 3.12

Computed properties:
- E_tot: -18.99 eV/cell
- Mass density: 8872 kg/m³
- ΔE to the lowest computed polymorph: 11.44 kJ/mol of atoms

=====

Compound: PaAuC
Source: Alexandria
Functional: PBE
Structure: optimized geometry

abc: 4.1605 4.1605 8.1999
angles: 75.30 75.30 60.00
Closest atoms and distances in Å follow each position.
Atoms (fractional coordinates):
C (0.2947, 0.2947, 0.1160)  4 Pa 2.27-2.44, 1 Au 2.35
C (0.7053, 0.7053, 0.8840)  4 Pa 2.27-2.44, 1 Au 2.35
Au (0.1949, 0.1949, 0.4152)  1 C 2.35
Au (0.8051, 0.8051, 0.5848)  1 C 2.35
Pa (0.3911, 0.3911, 0.8267)  4 C 2.27-2.44
Pa (0.6089, 0.6089, 0.1733)  4 C 2.27-2.44

Computed properties:
- E_tot: -44.84 eV/cell
- Mass density: 12434 kg/m³
- ΔE to the lowest computed polymorph: 17.37 kJ/mol of atoms

=====

Number 1: E_form 0.2 eV per formula unit. Number 2: E_form -1.3 eV per formula unit. Number 3: E_form -0.4 eV per formula unit.